# PBEsol La2YAl, relaxed
# ΔH_f (0 K)	-156	meV/atom
# final energy	-44.5	eV/cell
# spin magnetization	0.0	μB per formula unit
data_La2YAl
_chemical_formula_sum 'La4 Y2 Al2'
_cell_length_a 12.568
_cell_length_b 3.826
_cell_length_c 5.432
_cell_angle_alpha 90.00
_cell_angle_beta 115.53
_cell_angle_gamma 90.00
_space_group_name_H-M_alt 'C 1 m 1'
_space_group_IT_number 8
_space_group_name_Hall 'C -2y'
loop_
_atom_site_label
_atom_site_fract_x
_atom_site_fract_y
_atom_site_fract_z
La1 0.000 0.000 0.000
La2 0.215 0.000 0.716
Y1 0.432 0.000 0.432
Al1 0.226 0.500 0.228

=====

# PBEsol CrSi3Tc, relaxed
# energy relative to the elements, uncorrected	0.7670	eV/atom
# final energy	-34.9	eV/cell
# spin magnetization	5.1	μB per formula unit
data_CrSi3Tc
_chemical_formula_sum 'Cr1 Si3 Tc1'
_cell_length_a 4.594
_cell_length_b 4.594
_cell_length_c 4.594
_cell_angle_alpha 90.00
_cell_angle_beta 90.00
_cell_angle_gamma 90.00
_space_group_name_H-M_alt 'P m -3 m'
_space_group_IT_number 221
_space_group_name_Hall '-P 4 2 3'
loop_
_atom_site_label
_atom_site_fract_x
_atom_site_fract_y
_atom_site_fract_z
Cr1 0.000 0.000 0.000
Si1 0.000 0.500 0.500
Tc1 0.500 0.500 0.500

=====

# PBEsol LiAu5, relaxed
# polymorph energy (0 for the lowest one)	0	meV/atom
# ΔH_f (0 K)	-239	meV/atom
# final energy	-46.0	eV/cell
# spin magnetization	0.0	μB per formula unit
data_LiAu5
_chemical_formula_sum 'Li2 Au10'
_cell_length_a 3.911
_cell_length_b 12.275
_cell_length_c 4.062
_cell_angle_alpha 90.00
_cell_angle_beta 90.00
_cell_angle_gamma 90.00
_space_group_name_H-M_alt 'C m m m'
_space_group_IT_number 65
_space_group_name_Hall '-C 2 2'
loop_
_atom_site_label
_atom_site_fract_x
_atom_site_fract_y
_atom_site_fract_z
Li1 0.000 0.000 0.000
Au1 0.000 0.165 0.500
Au2 0.000 0.340 0.000
Au3 0.000 0.500 0.500

=====

Question: The highest final energy belongs to which entry?
Answer: CrSi3Tc